(1)
{"formula": "TeBrO2", "functional": "GGA-PBE", "state": "optimized geometry", "final_energy_ev_per_atom": -4.1831, "raw_formation_energy_ev_per_fu": -2.00, "space_group": "Imm2 (44)", "polymorph_energy_kj_per_mol_atoms": 12.6, "cell": [[-1.7012, 1.9787, 6.4896], [1.7012, -1.9787, 6.4896], [1.7012, 1.9787, -6.4896]], "species": ["Te", "Br", "O", "O"], "frac_coords": [[0.0000, 0.0000, 0.0000], [0.8278, 0.3278, 0.5000], [0.0859, 0.5859, 0.5000], [0.4977, 0.9977, 0.5000]]}


(2)
{"formula": "AgIrPd3", "functional": "GGA-PBE", "state": "optimized geometry", "final_energy_ev_per_atom": -4.3487, "space_group": "Pm-3m (221)", "formation_enthalpy_0k_ev_per_atom": 1.11, "polymorph_energy_kj_per_mol_atoms": 0.0, "cell": [[4.8403, 0.0000, 0.0000], [0.0000, 4.8403, 0.0000], [0.0000, 0.0000, 4.8403]], "species": ["Ag", "Ir", "Pd", "Pd", "Pd"], "frac_coords": [[0.0000, 0.0000, 0.0000], [0.5000, 0.5000, 0.5000], [0.0000, 0.5000, 0.5000], [0.5000, 0.0000, 0.5000], [0.5000, 0.5000, 0.0000]]}


(3)
{"formula": "HgSb3Te", "functional": "GGA-PBE", "state": "optimized geometry", "final_energy_ev_per_atom": -2.3715, "raw_formation_energy_ev_per_fu": 3.95, "space_group": "Pm-3m (221)", "polymorph_energy_kj_per_mol_atoms": 0.0, "cell": [[5.7942, 0.0000, 0.0000], [0.0000, 5.7942, 0.0000], [0.0000, 0.0000, 5.7942]], "species": ["Hg", "Sb", "Sb", "Sb", "Te"], "frac_coords": [[0.0000, 0.0000, 0.0000], [0.0000, 0.5000, 0.5000], [0.5000, 0.0000, 0.5000], [0.5000, 0.5000, 0.0000], [0.5000, 0.5000, 0.5000]]}


(4)
{"formula": "CaAc2Ge3Pt4", "functional": "GGA-PBE", "state": "optimized geometry", "final_energy_ev_per_atom": -5.7452, "space_group": "P-4m2 (115)", "formation_enthalpy_0k_ev_per_atom": -0.92, "cell": [[4.4405, 0.0000, 0.0000], [0.0000, 4.4405, 0.0000], [0.0000, 0.0000, 11.1761]], "species": ["Ca", "Ac", "Ac", "Ge", "Ge", "Ge", "Pt", "Pt", "Pt", "Pt"], "frac_coords": [[0.0000, 0.0000, 0.0000], [0.0000, 0.5000, 0.7321], [0.5000, 0.0000, 0.2679], [0.0000, 0.5000, 0.3835], [0.5000, 0.0000, 0.6165], [0.5000, 0.5000, 0.0000], [0.0000, 0.0000, 0.5000], [0.0000, 0.5000, 0.1587], [0.5000, 0.0000, 0.8413], [0.5000, 0.5000, 0.5000]]}


Sequential density of states at the Fermi level output: 1.32; 7.49; 6.54; 3.84 states/eV per cell